No. 1
Computed, not measured: a relaxed structure of Tm3PN5 at the PBE level of DFT.

Cell and atoms, written as POSCAR:
```
Tm3PN5
1.0
-3.186 3.186 5.238
3.186 -3.186 5.238
3.186 3.186 -5.238
Tm P N
6 2 10
Cartesian
4.332 1.147 0.000
0.000 0.000 2.619
1.147 2.039 0.000
2.039 1.147 5.238
0.000 0.000 7.857
-1.147 2.039 5.238
3.186 0.000 2.619
0.000 3.186 2.619
0.000 0.000 0.000
4.083 -0.898 1.582
2.288 -0.898 3.656
2.288 0.898 1.582
4.083 0.898 3.656
0.000 0.000 5.238
-0.898 2.288 1.582
0.898 2.288 3.656
0.898 4.083 1.582
-0.898 4.083 3.656
```

## Properties
energy	-8.00	eV per atom

No. 2
Computed, not measured: a relaxed structure of TmP2N4 at the PBE level of DFT.

Cell and atoms, written as POSCAR:
```
TmP2N4
1.0
5.517 0.000 0.000
-1.444 5.523 0.000
-2.261 -1.403 5.068
Tm P N
2 4 8
Cartesian
0.000 0.000 0.000
-1.328 1.888 4.198
-1.056 3.004 1.714
0.789 -0.124 4.793
1.769 1.258 2.499
1.742 4.175 2.085
0.299 3.968 1.267
0.451 0.760 3.369
1.707 1.477 0.800
-0.407 3.905 4.428
2.042 2.809 3.156
3.049 0.168 2.805
3.192 4.093 1.348
4.413 1.974 0.364
```

## Properties
energy	-7.64	eV per atom

No. 3
Computed, not measured: a relaxed structure of TmPN at the PBE level of DFT.

Cell and atoms, written as POSCAR:
```
TmPN
1.0
2.954 -2.376 0.000
2.954 2.376 0.000
-2.862 0.000 6.926
Tm P N
2 2 2
Cartesian
0.308 0.000 2.263
2.738 0.000 4.663
-0.571 0.000 5.989
3.617 0.000 0.937
0.409 0.000 4.513
2.637 0.000 2.413
```

## Properties
energy	-7.07	eV per atom

No. 4
Computed, not measured: a relaxed structure of TmP4N7 at the PBE level of DFT.

Cell and atoms, written as POSCAR:
```
TmP4N7
1.0
11.198 0.000 0.000
0.000 5.653 0.000
0.000 0.000 4.760
Tm P N
2 8 14
Cartesian
0.000 0.918 0.000
5.599 4.735 2.380
1.420 3.887 1.570
2.621 1.253 1.544
2.978 4.399 3.924
4.179 1.766 3.950
7.019 1.766 3.950
8.220 4.399 3.924
8.577 1.253 1.544
9.778 3.887 1.570
0.000 4.571 1.056
1.350 2.254 1.176
1.574 4.163 3.147
2.741 4.452 0.770
2.858 1.200 3.150
4.025 1.489 0.767
4.249 3.399 3.556
5.599 1.082 3.436
6.949 3.399 3.556
7.173 1.489 0.767
8.340 1.200 3.150
8.457 4.452 0.770
9.624 4.163 3.147
9.848 2.254 1.176
```

## Properties
energy	-7.35	eV per atom

No. 5
Computed, not measured: a relaxed structure of UPN at the PBE level of DFT.

Cell and atoms, written as POSCAR:
```
UPN
1.0
3.737 0.000 0.000
-1.868 3.236 0.000
0.000 0.000 3.952
U P N
1 1 1
Cartesian
0.000 0.000 0.000
1.868 1.079 1.976
0.000 2.157 0.000
```

## Properties
energy	-9.25	eV per atom
polymorph energy (0 for the lowest one)	0.189	eV/atom

No. 6
Computed, not measured: a relaxed structure of UPN at the PBE level of DFT.

Cell and atoms, written as POSCAR:
```
UPN
1.0
2.626 -2.703 0.000
2.626 2.703 0.000
-1.049 0.000 6.649
U P N
2 2 2
Cartesian
0.812 0.000 2.101
3.390 0.000 4.548
0.821 0.000 5.865
3.382 0.000 0.784
2.101 1.359 3.325
2.101 -1.359 3.325
```

## Properties
energy	-9.44	eV per atom
polymorph energy (0 for the lowest one)	0.000	eV/atom

No. 7
Computed, not measured: a relaxed structure of UPN2 at the PBE level of DFT.

Cell and atoms, written as POSCAR:
```
UPN2
1.0
1.390 0.803 6.780
-1.390 0.803 6.780
0.000 -1.605 6.780
U P N
1 1 2
Cartesian
0.000 0.000 0.000
0.000 0.000 10.170
0.000 0.000 2.445
0.000 0.000 17.896
```

## Properties
energy	-8.26	eV per atom

No. 8
Computed, not measured: a relaxed structure of U3P2N2 at the PBE level of DFT.

Cell and atoms, written as POSCAR:
```
U3P2N2
1.0
5.834 -1.892 0.000
5.834 1.892 0.000
-3.496 0.000 5.745
U P N
3 2 2
Cartesian
0.000 0.000 0.000
-0.404 0.000 4.164
8.577 0.000 1.582
2.754 0.000 3.777
5.419 0.000 1.969
2.078 0.000 0.541
6.095 0.000 5.205
```

## Properties
energy	-9.91	eV per atom

No. 9
Computed, not measured: a relaxed structure of U2PN2 at the PBE level of DFT.

Cell and atoms, written as POSCAR:
```
U2PN2
1.0
3.796 0.000 0.000
-1.898 3.288 0.000
0.000 0.000 6.535
U P N
2 1 2
Cartesian
0.000 2.192 1.832
1.898 1.096 4.702
0.000 0.000 0.000
0.000 2.192 4.109
1.898 1.096 2.426
```

## Properties
energy	-10.30	eV per atom

No. 10
Computed, not measured: a relaxed structure of UP2N6 at the PBE level of DFT.

Cell and atoms, written as POSCAR:
```
UP2N6
1.0
5.250 -1.834 0.000
5.250 1.834 0.000
-1.255 0.000 5.927
U P N
1 2 6
Cartesian
0.000 0.000 0.000
1.803 0.000 3.955
7.442 0.000 1.971
0.289 0.000 4.562
2.096 0.000 2.281
3.013 0.000 5.085
6.232 0.000 0.842
7.149 0.000 3.645
8.956 0.000 1.365
```

## Properties
energy	-8.13	eV per atom

No. 11
Computed, not measured: a relaxed structure of U3P3N at the PBE level of DFT.

Cell and atoms, written as POSCAR:
```
U3P3N
1.0
4.635 2.676 1.858
-4.635 2.676 1.858
0.000 -5.352 1.858
U P N
3 3 1
Cartesian
0.000 -2.146 1.858
-1.859 1.073 1.858
1.859 1.073 1.858
-2.653 -1.532 2.792
2.653 -1.532 2.792
0.000 3.064 2.792
0.000 0.000 1.693
```

## Properties
energy	-9.07	eV per atom

No. 12
Computed, not measured: a relaxed structure of U3PN3 at the PBE level of DFT.

Cell and atoms, written as POSCAR:
```
U3PN3
1.0
3.296 1.903 6.598
-3.296 1.903 6.598
0.000 -3.806 6.598
U P N
6 2 6
Cartesian
-1.152 -1.973 8.015
-2.285 0.012 11.778
-1.132 1.984 8.015
1.132 -1.984 11.778
2.285 -0.012 8.015
1.152 1.973 11.778
0.000 0.000 3.294
0.000 0.000 16.499
-2.144 0.024 7.471
-1.093 -1.844 12.323
1.051 -1.869 7.471
-1.051 1.869 12.323
1.093 1.844 7.471
2.144 -0.024 12.323
```

## Properties
energy	-10.42	eV per atom